1.
# La2In

Crystalline La2In at its relaxed geometry (PBEsol, the Alexandria database).

## Properties
Space-group type: P-3m1, No. 164
E_tot: -4.895 eV per atom

Cell and atoms, written as POSCAR:
```
La2In
1.0
3.744 0.000 0.000
0.000 5.213 0.000
0.000 -2.607 4.515
La In
2 1
Cartesian
2.512 0.000 3.010
1.231 2.607 1.505
0.000 0.000 0.000
```

---

2.
# LaIn8

Crystalline LaIn8 at its relaxed geometry (PBEsol, the Alexandria database).

## Properties
Space-group type: I4/mmm, No. 139
E_tot: -3.427 eV per atom

Cell and atoms, written as POSCAR:
```
LaIn8
1.0
4.673 0.000 0.000
2.336 7.012 0.000
2.336 0.000 7.012
La In
1 8
Cartesian
0.000 0.000 0.000
2.336 0.000 2.450
2.336 2.393 4.619
4.673 4.619 4.619
4.673 0.000 4.562
2.336 2.450 0.000
2.336 4.619 2.393
4.673 2.393 2.393
4.673 4.562 0.000
```

---

3.
# La2In

Crystalline La2In at its relaxed geometry (PBEsol, the Alexandria database).

## Properties
Space-group type: P6_3/mmc, No. 194
E_tot: -4.930 eV per atom

Cell and atoms, written as POSCAR:
```
La2In
1.0
-3.747 -0.494 4.041
4.444 -3.296 -0.070
3.510 4.652 3.822
In La
2 4
Cartesian
2.591 -1.199 2.256
1.615 2.061 5.538
4.346 1.127 4.167
1.755 2.326 1.911
0.000 0.000 0.000
-0.139 -0.265 3.626
```

---

4.
# La5In

Crystalline La5In at its relaxed geometry (PBEsol, the Alexandria database).

## Properties
Space-group type: Cmmm, No. 65
E_tot: -5.141 eV per atom
Relative energy among the computed polymorphs: 0.000 eV/atom

Cell and atoms, written as POSCAR:
```
La5In
1.0
-4.088 -2.611 0.863
1.928 -3.856 -2.533
5.127 -1.391 6.019
La In
5 1
Cartesian
0.964 -1.928 -1.267
3.074 -3.773 3.147
-0.106 -4.085 1.201
-0.005 -3.088 4.697
1.045 -0.913 2.185
-2.044 -1.305 0.431
```

---

5.
# LaIn2

Crystalline LaIn2 at its relaxed geometry (PBEsol, the Alexandria database).

## Properties
Space-group type: P6_3/mmc, No. 194
E_tot: -4.231 eV per atom

Cell and atoms, written as POSCAR:
```
LaIn2
1.0
5.351 0.000 0.000
-2.676 4.634 0.000
0.000 0.000 6.609
In La
4 2
Cartesian
0.000 3.090 1.652
0.000 0.000 0.000
2.676 1.545 4.957
0.000 0.000 3.304
0.000 3.090 4.957
2.676 1.545 1.652
```

---

6.
# La7In

Crystalline La7In at its relaxed geometry (PBEsol, the Alexandria database).

## Properties
Space-group type: Fm-3m, No. 225
E_tot: -5.193 eV per atom

Cell and atoms, written as POSCAR:
```
La7In
1.0
7.092 0.000 0.000
3.546 6.142 0.000
3.546 2.047 5.790
La In
7 1
Cartesian
3.546 0.000 0.000
3.546 4.094 2.895
5.319 3.071 0.000
1.773 3.071 0.000
1.773 1.024 2.895
7.092 4.094 2.895
5.319 1.024 2.895
0.000 0.000 0.000
```

---

7.
# La5In

Crystalline La5In at its relaxed geometry (PBEsol, the Alexandria database).

## Properties
Space-group type: P-62m, No. 189
E_tot: -5.120 eV per atom
Relative energy among the computed polymorphs: 0.021 eV/atom

Cell and atoms, written as POSCAR:
```
La5In
1.0
5.799 0.000 0.000
0.000 6.113 0.000
0.000 -3.056 5.294
La In
5 1
Cartesian
0.000 4.221 0.000
0.000 -2.110 3.655
2.900 0.000 3.529
2.900 3.056 1.765
0.000 0.946 1.639
2.900 0.000 0.000
```

---

8.
# La5In

Crystalline La5In at its relaxed geometry (PBEsol, the Alexandria database).

## Properties
Space-group type: Cm, No. 8
E_tot: -5.118 eV per atom
Relative energy among the computed polymorphs: 0.023 eV/atom

Cell and atoms, written as POSCAR:
```
La5In
1.0
-2.737 1.573 1.917
3.989 -2.836 4.465
3.385 7.729 -1.510
La In
5 1
Cartesian
2.321 2.003 5.229
0.474 2.449 2.225
3.988 3.822 2.558
1.731 -0.799 3.127
1.706 6.184 0.919
3.380 7.711 -1.501
```

---

9.
# LaIn2

Crystalline LaIn2 at its relaxed geometry (PBEsol, the Alexandria database).

## Properties
Space-group type: Pnma, No. 62
E_tot: -4.256 eV per atom

Cell and atoms, written as POSCAR:
```
LaIn2
1.0
-3.828 3.075 -0.360
-3.916 -5.144 -2.304
-2.539 -2.107 9.018
In La
8 4
Cartesian
-4.542 -3.428 2.192
-3.124 -1.133 6.714
-5.295 -0.548 1.127
-1.733 -0.149 0.318
-5.740 -0.747 4.163
-4.987 -3.627 5.228
-8.550 -4.026 6.036
-7.159 -3.042 -0.359
-7.656 -3.260 3.075
-3.751 -2.797 -0.830
-6.531 -1.379 7.185
-2.626 -0.916 3.280
```

---

10.
# LiLaIn2

Crystalline LiLaIn2 at its relaxed geometry (PBEsol, the Alexandria database).

## Properties
Space-group type: Pmmm, No. 47
E_tot: -3.765 eV per atom

Cell and atoms, written as POSCAR:
```
LiLaIn2
1.0
-1.817 1.195 2.597
2.064 -1.857 2.299
4.794 6.041 0.574
In Li La
2 1 1
Cartesian
3.362 4.236 0.402
1.432 1.805 0.171
2.521 2.690 2.735
0.123 -0.331 2.448
```

---

11.
# LiLaIn2

Crystalline LiLaIn2 at its relaxed geometry (PBEsol, the Alexandria database).

## Properties
Space-group type: Imm2, No. 44
E_tot: -3.669 eV per atom

Cell and atoms, written as POSCAR:
```
LiLaIn2
1.0
5.136 0.000 0.000
0.000 5.156 0.000
-2.568 -2.578 3.647
In Li La
2 1 1
Cartesian
0.000 0.000 0.000
2.568 0.000 1.819
0.000 2.578 1.828
0.000 0.000 3.647
```

---

12.
# LiLaIn2

Crystalline LiLaIn2 at its relaxed geometry (PBEsol, the Alexandria database).

## Properties
Space-group type: P4mm, No. 99
E_tot: -3.549 eV per atom

Cell and atoms, written as POSCAR:
```
LiLaIn2
1.0
-3.570 0.618 -0.573
-0.647 -3.607 0.143
-1.091 0.485 7.314
In Li La
2 1 1
Cartesian
-1.064 0.473 7.133
-2.346 -1.389 1.377
-2.990 -1.103 5.694
-0.544 0.242 3.649
```

---

13.
# LiLaIn2

Crystalline LiLaIn2 at its relaxed geometry (PBEsol, the Alexandria database).

## Properties
Space-group type: R-3m, No. 166
E_tot: -3.754 eV per atom

Cell and atoms, written as POSCAR:
```
LiLaIn2
1.0
-0.861 -1.784 -4.242
3.551 -0.996 -2.885
1.159 -5.942 -0.320
In La Li
2 1 1
Cartesian
0.934 -1.631 -2.087
2.916 -7.092 -5.360
1.925 -4.361 -3.724
0.000 0.000 0.000
```

---

14.
# LiLa2In2

Crystalline LiLa2In2 at its relaxed geometry (PBEsol, the Alexandria database).

## Properties
Space-group type: P4/mbm, No. 127
E_tot: -4.103 eV per atom

Cell and atoms, written as POSCAR:
```
LiLa2In2
1.0
4.929 0.000 0.000
0.000 7.591 0.000
0.000 0.000 7.591
In La Li
4 4 2
Cartesian
0.000 6.442 4.945
0.000 4.945 1.149
0.000 1.149 2.647
0.000 2.647 6.442
2.465 1.112 4.908
2.465 2.683 1.112
2.465 6.479 2.683
2.465 4.908 6.479
0.000 0.000 0.000
0.000 3.796 3.796
```

---

15.
# Li4LaIn

Crystalline Li4LaIn at its relaxed geometry (PBEsol, the Alexandria database).

## Properties
Space-group type: F-43m, No. 216
E_tot: -2.870 eV per atom

Cell and atoms, written as POSCAR:
```
Li4LaIn
1.0
5.568 0.000 0.000
2.784 4.822 0.000
2.784 1.607 4.547
Li In La
4 1 1
Cartesian
6.941 2.422 1.713
5.568 3.215 3.955
5.568 4.800 1.713
4.196 2.422 1.713
8.353 4.822 3.410
0.000 0.000 0.000
```

---

16.
# LaLuIn2

Crystalline LaLuIn2 at its relaxed geometry (PBEsol, the Alexandria database).

## Properties
Space-group type: Fm-3m, No. 225
E_tot: -4.534 eV per atom

Cell and atoms, written as POSCAR:
```
LaLuIn2
1.0
5.324 0.000 0.000
2.662 4.611 0.000
2.662 1.537 4.347
In La Lu
2 1 1
Cartesian
2.662 1.537 1.087
7.986 4.611 3.260
0.000 0.000 0.000
5.324 3.074 2.173
```

---

17.
# LaMgIn

Crystalline LaMgIn at its relaxed geometry (PBEsol, the Alexandria database).

## Properties
Space-group type: F-43m, No. 216
E_tot: -3.621 eV per atom

Cell and atoms, written as POSCAR:
```
LaMgIn
1.0
-3.688 3.503 -0.050
-4.508 -1.082 -2.095
-4.102 -0.584 2.951
Mg In La
1 1 1
Cartesian
-6.149 0.919 0.403
-9.224 1.378 0.604
0.000 0.000 0.000
```

---

18.
# LaMgIn

Crystalline LaMgIn at its relaxed geometry (PBEsol, the Alexandria database).

## Properties
Space-group type: Imma, No. 74
E_tot: -3.765 eV per atom

Cell and atoms, written as POSCAR:
```
LaMgIn
1.0
-1.833 -5.445 1.241
1.387 -4.500 -3.774
4.006 -4.084 1.922
In Mg La
2 2 2
Cartesian
1.780 -7.014 -0.306
-0.917 -2.722 0.621
-0.223 -4.972 -1.266
0.694 -2.250 -1.887
1.209 -10.275 -1.537
2.351 -3.753 0.926
```

---

19.
# LaMgIn

Crystalline LaMgIn at its relaxed geometry (PBEsol, the Alexandria database).

## Properties
Space-group type: P-6m2, No. 187
E_tot: -3.738 eV per atom

Cell and atoms, written as POSCAR:
```
LaMgIn
1.0
3.666 0.000 0.000
0.000 5.065 0.000
0.000 -2.532 4.386
La In Mg
1 1 1
Cartesian
0.000 0.000 2.924
1.833 0.000 0.000
1.833 2.532 1.462
```

---

20.
# LaMgIn4

Crystalline LaMgIn4 at its relaxed geometry (PBEsol, the Alexandria database).

## Properties
Space-group type: F-43m, No. 216
E_tot: -3.363 eV per atom

Cell and atoms, written as POSCAR:
```
LaMgIn4
1.0
6.053 0.000 0.000
3.026 5.242 0.000
3.026 1.747 4.942
In Mg La
4 1 1
Cartesian
7.569 2.619 1.852
6.053 3.495 4.328
6.053 5.245 1.852
4.537 2.619 1.852
0.000 0.000 0.000
9.079 5.242 3.707
```